(1)
# Ca2IrRh PBE-GGA optimized geometry
data_Ca2IrRh
_chemical_formula_sum 'Ca2 Ir1 Rh1'
_cell_length_a 5.514
_cell_length_b 5.514
_cell_length_c 5.514
_cell_angle_alpha 135.99
_cell_angle_beta 135.99
_cell_angle_gamma 63.99
_symmetry_space_group_name_H-M 'P 1'
_symmetry_Int_Tables_number 1
loop_
_symmetry_equiv_pos_as_xyz
'x,y,z'
loop_
_atom_site_label
_atom_site_type_symbol
_atom_site_fract_x
_atom_site_fract_y
_atom_site_fract_z
_atom_site_occupancy
Ca1 Ca 0.000 0.000 0.000 1
Ca2 Ca 0.750 0.250 0.500 1
Ir1 Ir 0.250 0.750 0.500 1
Rh1 Rh 0.500 0.500 0.000 1
# crystal system = tetragonal
# space group = No. 119

(2)
# CaIr2Rh PBE-GGA optimized geometry
data_CaIr2Rh
_chemical_formula_sum 'Ca1 Ir2 Rh1'
_cell_length_a 2.808
_cell_length_b 4.513
_cell_length_c 5.259
_cell_angle_alpha 90.00
_cell_angle_beta 95.44
_cell_angle_gamma 90.00
_symmetry_space_group_name_H-M 'P 1'
_symmetry_Int_Tables_number 1
loop_
_symmetry_equiv_pos_as_xyz
'x,y,z'
loop_
_atom_site_label
_atom_site_type_symbol
_atom_site_fract_x
_atom_site_fract_y
_atom_site_fract_z
_atom_site_occupancy
Ca1 Ca 0.000 0.000 0.000 1
Ir1 Ir 0.428 0.000 0.499 1
Ir2 Ir 0.884 0.500 0.375 1
Rh1 Rh 0.472 0.500 0.808 1
# crystal system = monoclinic
# space group = No. 6
# distance to the lowest polymorph of the same formula = 0 meV/atom

(3)
# CaIr2Rh PBE-GGA optimized geometry
data_CaIr2Rh
_chemical_formula_sum 'Ca1 Ir2 Rh1'
_cell_length_a 4.912
_cell_length_b 4.912
_cell_length_c 5.122
_cell_angle_alpha 99.89
_cell_angle_beta 99.89
_cell_angle_gamma 33.48
_symmetry_space_group_name_H-M 'P 1'
_symmetry_Int_Tables_number 1
loop_
_symmetry_equiv_pos_as_xyz
'x,y,z'
loop_
_atom_site_label
_atom_site_type_symbol
_atom_site_fract_x
_atom_site_fract_y
_atom_site_fract_z
_atom_site_occupancy
Ca1 Ca 0.000 0.000 0.000 1
Ir1 Ir 0.239 0.239 0.667 1
Ir2 Ir 0.500 0.500 0.513 1
Rh1 Rh 0.760 0.760 0.245 1
# crystal system = monoclinic
# space group = No. 8
# distance to the lowest polymorph of the same formula = 1 meV/atom

(4)
# Ca8Ir2Rh PBE-GGA optimized geometry
data_Ca8Ir2Rh
_chemical_formula_sum 'Ca8 Ir2 Rh1'
_cell_length_a 8.673
_cell_length_b 8.673
_cell_length_c 8.673
_cell_angle_alpha 147.80
_cell_angle_beta 122.39
_cell_angle_gamma 67.55
_symmetry_space_group_name_H-M 'P 1'
_symmetry_Int_Tables_number 1
loop_
_symmetry_equiv_pos_as_xyz
'x,y,z'
loop_
_atom_site_label
_atom_site_type_symbol
_atom_site_fract_x
_atom_site_fract_y
_atom_site_fract_z
_atom_site_occupancy
Ca1 Ca 0.122 0.337 0.785 1
Ca2 Ca 0.136 0.136 0.000 1
Ca3 Ca 0.320 0.000 0.320 1
Ca4 Ca 0.449 0.663 0.785 1
Ca5 Ca 0.551 0.337 0.215 1
Ca6 Ca 0.680 0.000 0.680 1
Ca7 Ca 0.864 0.864 0.000 1
Ca8 Ca 0.878 0.663 0.215 1
Ir1 Ir 0.313 0.813 0.500 1
Ir2 Ir 0.687 0.187 0.500 1
Rh1 Rh 0.000 0.500 0.500 1
# crystal system = orthorhombic
# space group = No. 71

(5)
# CaIr2Rh PBE-GGA optimized geometry
data_CaIr2Rh
_chemical_formula_sum 'Ca1 Ir2 Rh1'
_cell_length_a 2.858
_cell_length_b 4.700
_cell_length_c 4.864
_cell_angle_alpha 90.00
_cell_angle_beta 90.00
_cell_angle_gamma 90.00
_symmetry_space_group_name_H-M 'P 1'
_symmetry_Int_Tables_number 1
loop_
_symmetry_equiv_pos_as_xyz
'x,y,z'
loop_
_atom_site_label
_atom_site_type_symbol
_atom_site_fract_x
_atom_site_fract_y
_atom_site_fract_z
_atom_site_occupancy
Ca1 Ca 0.000 0.000 0.000 1
Ir1 Ir 0.000 0.500 0.500 1
Ir2 Ir 0.500 0.000 0.500 1
Rh1 Rh 0.500 0.500 0.000 1
# crystal system = orthorhombic
# space group = No. 47
# distance to the lowest polymorph of the same formula = 99 meV/atom

(6)
# CaIr2Rh PBE-GGA optimized geometry
data_CaIr2Rh
_chemical_formula_sum 'Ca1 Ir2 Rh1'
_cell_length_a 2.826
_cell_length_b 4.728
_cell_length_c 5.107
_cell_angle_alpha 90.00
_cell_angle_beta 100.91
_cell_angle_gamma 90.00
_symmetry_space_group_name_H-M 'P 1'
_symmetry_Int_Tables_number 1
loop_
_symmetry_equiv_pos_as_xyz
'x,y,z'
loop_
_atom_site_label
_atom_site_type_symbol
_atom_site_fract_x
_atom_site_fract_y
_atom_site_fract_z
_atom_site_occupancy
Ca1 Ca 0.000 0.000 0.000 1
Ir1 Ir 0.336 0.500 0.723 1
Ir2 Ir 0.664 0.500 0.277 1
Rh1 Rh 0.500 0.000 0.500 1
# crystal system = monoclinic
# space group = No. 10
# distance to the lowest polymorph of the same formula = 88 meV/atom

(7)
# CaIr2Rh PBE-GGA optimized geometry
data_CaIr2Rh
_chemical_formula_sum 'Ca1 Ir2 Rh1'
_cell_length_a 4.902
_cell_length_b 4.902
_cell_length_c 4.902
_cell_angle_alpha 131.07
_cell_angle_beta 131.07
_cell_angle_gamma 71.70
_symmetry_space_group_name_H-M 'P 1'
_symmetry_Int_Tables_number 1
loop_
_symmetry_equiv_pos_as_xyz
'x,y,z'
loop_
_atom_site_label
_atom_site_type_symbol
_atom_site_fract_x
_atom_site_fract_y
_atom_site_fract_z
_atom_site_occupancy
Ca1 Ca 0.000 0.000 0.000 1
Ir1 Ir 0.250 0.750 0.500 1
Ir2 Ir 0.500 0.500 0.000 1
Rh1 Rh 0.750 0.250 0.500 1
# crystal system = tetragonal
# space group = No. 119
# distance to the lowest polymorph of the same formula = 99 meV/atom

(8)
# Ca2IrRh PBE-GGA optimized geometry
data_Ca2IrRh
_chemical_formula_sum 'Ca2 Ir1 Rh1'
_cell_length_a 4.805
_cell_length_b 4.805
_cell_length_c 4.805
_cell_angle_alpha 60.00
_cell_angle_beta 60.00
_cell_angle_gamma 60.00
_symmetry_space_group_name_H-M 'P 1'
_symmetry_Int_Tables_number 1
loop_
_symmetry_equiv_pos_as_xyz
'x,y,z'
loop_
_atom_site_label
_atom_site_type_symbol
_atom_site_fract_x
_atom_site_fract_y
_atom_site_fract_z
_atom_site_occupancy
Ca1 Ca 0.000 0.000 0.000 1
Ca2 Ca 0.250 0.250 0.250 1
Ir1 Ir 0.500 0.500 0.500 1
Rh1 Rh 0.750 0.750 0.750 1
# crystal system = cubic
# space group = No. 216

(9)
# Ca2IrRh PBE-GGA optimized geometry
data_Ca2IrRh
_chemical_formula_sum 'Ca2 Ir1 Rh1'
_cell_length_a 5.040
_cell_length_b 5.040
_cell_length_c 3.190
_cell_angle_alpha 90.00
_cell_angle_beta 90.00
_cell_angle_gamma 101.65
_symmetry_space_group_name_H-M 'P 1'
_symmetry_Int_Tables_number 1
loop_
_symmetry_equiv_pos_as_xyz
'x,y,z'
loop_
_atom_site_label
_atom_site_type_symbol
_atom_site_fract_x
_atom_site_fract_y
_atom_site_fract_z
_atom_site_occupancy
Ca1 Ca 0.000 0.500 0.000 1
Ca2 Ca 0.500 0.000 0.000 1
Ir1 Ir 0.000 0.000 0.500 1
Rh1 Rh 0.500 0.500 0.500 1
# crystal system = orthorhombic
# space group = No. 65

(10)
# CaIr2Rh PBE-GGA optimized geometry
data_CaIr2Rh
_chemical_formula_sum 'Ca1 Ir2 Rh1'
_cell_length_a 4.957
_cell_length_b 4.957
_cell_length_c 2.806
_cell_angle_alpha 90.00
_cell_angle_beta 90.00
_cell_angle_gamma 110.92
_symmetry_space_group_name_H-M 'P 1'
_symmetry_Int_Tables_number 1
loop_
_symmetry_equiv_pos_as_xyz
'x,y,z'
loop_
_atom_site_label
_atom_site_type_symbol
_atom_site_fract_x
_atom_site_fract_y
_atom_site_fract_z
_atom_site_occupancy
Ca1 Ca 0.000 0.000 0.000 1
Ir1 Ir 0.000 0.500 0.500 1
Ir2 Ir 0.500 0.000 0.500 1
Rh1 Rh 0.500 0.500 0.000 1
# crystal system = orthorhombic
# space group = No. 65
# distance to the lowest polymorph of the same formula = 21 meV/atom

(11)
# CaIr2Rh PBE-GGA optimized geometry
data_CaIr2Rh
_chemical_formula_sum 'Ca1 Ir2 Rh1'
_cell_length_a 2.813
_cell_length_b 3.920
_cell_length_c 6.191
_cell_angle_alpha 90.00
_cell_angle_beta 90.00
_cell_angle_gamma 90.00
_symmetry_space_group_name_H-M 'P 1'
_symmetry_Int_Tables_number 1
loop_
_symmetry_equiv_pos_as_xyz
'x,y,z'
loop_
_atom_site_label
_atom_site_type_symbol
_atom_site_fract_x
_atom_site_fract_y
_atom_site_fract_z
_atom_site_occupancy
Ca1 Ca 0.000 0.000 0.000 1
Ir1 Ir 0.000 0.000 0.487 1
Ir2 Ir 0.500 0.500 0.308 1
Rh1 Rh 0.500 0.500 0.727 1
# crystal system = orthorhombic
# space group = No. 25
# distance to the lowest polymorph of the same formula = 53 meV/atom

(12)
# CaIr2Rh2 PBE-GGA optimized geometry
data_CaIr2Rh2
_chemical_formula_sum 'Ca2 Ir4 Rh4'
_cell_length_a 7.731
_cell_length_b 7.731
_cell_length_c 2.787
_cell_angle_alpha 90.00
_cell_angle_beta 90.00
_cell_angle_gamma 90.00
_symmetry_space_group_name_H-M 'P 1'
_symmetry_Int_Tables_number 1
loop_
_symmetry_equiv_pos_as_xyz
'x,y,z'
loop_
_atom_site_label
_atom_site_type_symbol
_atom_site_fract_x
_atom_site_fract_y
_atom_site_fract_z
_atom_site_occupancy
Ca1 Ca 0.000 0.000 0.000 1
Ca2 Ca 0.500 0.500 0.000 1
Ir1 Ir 0.119 0.381 0.000 1
Ir2 Ir 0.381 0.881 0.000 1
Ir3 Ir 0.619 0.119 0.000 1
Ir4 Ir 0.881 0.619 0.000 1
Rh1 Rh 0.180 0.680 0.500 1
Rh2 Rh 0.320 0.180 0.500 1
Rh3 Rh 0.680 0.820 0.500 1
Rh4 Rh 0.820 0.320 0.500 1
# crystal system = tetragonal
# space group = No. 127
# distance to the lowest polymorph of the same formula = 0 meV/atom

Number 1: total magnetic moment 0.00 Bohr magnetons per cell, uncorrected energy -5.082 eV per atom, DFT formation energy -0.0283 eV per atom. Number 2: total magnetic moment 0.00 Bohr magnetons per cell, uncorrected energy -6.787 eV per atom, DFT formation energy -0.0178 eV per atom. Number 3: total magnetic moment 0.00 Bohr magnetons per cell, uncorrected energy -6.786 eV per atom, DFT formation energy -0.0168 eV per atom. Number 4: total magnetic moment 0.00 Bohr magnetons per cell, uncorrected energy -3.921 eV per atom, DFT formation energy -0.1859 eV per atom. Number 5: total magnetic moment 0.00 Bohr magnetons per cell, uncorrected energy -6.688 eV per atom, DFT formation energy 0.0808 eV per atom. Number 6: total magnetic moment 0.00 Bohr magnetons per cell, uncorrected energy -6.699 eV per atom, DFT formation energy 0.0700 eV per atom. Number 7: total magnetic moment 0.00 Bohr magnetons per cell, uncorrected energy -6.688 eV per atom, DFT formation energy 0.0808 eV per atom. Number 8: total magnetic moment 0.91 Bohr magnetons per cell, uncorrected energy -5.035 eV per atom, DFT formation energy 0.0187 eV per atom. Number 9: total magnetic moment 0.00 Bohr magnetons per cell, uncorrected energy -5.197 eV per atom, DFT formation energy -0.1427 eV per atom. Number 10: total magnetic moment 0.00 Bohr magnetons per cell, uncorrected energy -6.765 eV per atom, DFT formation energy 0.0035 eV per atom. Number 11: total magnetic moment 0.00 Bohr magnetons per cell, uncorrected energy -6.734 eV per atom, DFT formation energy 0.0349 eV per atom. Number 12: total magnetic moment 0.00 Bohr magnetons per cell, uncorrected energy -6.967 eV per atom, DFT formation energy -0.0815 eV per atom.